DFT (PBE-GGA) results for Tb3BiRu after structural relaxation.

The calculation puts the calculated formation energy at -0.490 eV per atom. The value obtained for the density of states at the Fermi level is 6.720 states/eV/cell. The space group is C2/m (12). The crystal system is monoclinic.

a b c (Å): 4.565 6.337 10.301
angles (deg): 98.09 90.00 111.11
Atoms (fractional coordinates):
Ru  0.235  0.470  0.883
Tb  0.130  0.260  0.163
Bi  0.413  0.827  0.618
Tb  0.138  0.275  0.621
Tb  0.601  0.201  0.889
Tb  0.870  0.740  0.837
Ru  0.765  0.530  0.117
Tb  0.399  0.799  0.111
Bi  0.587  0.173  0.382
Tb  0.862  0.725  0.379


DFT (PBE-GGA) results for CsNbIn2Cl8 after structural relaxation.

The space group is P-1 (2). As for the energy relative to the elements, uncorrected: -1237.6 meV/atom. The crystal system is triclinic.

a b c (Å): 6.299 7.655 9.514
angles (deg): 88.46 86.78 112.12
Atoms (fractional coordinates):
Cs  0.000  0.000  0.500
Cl  0.417  0.701  0.493
In  0.491  0.496  0.731
Cl  0.401  0.181  0.994
Cl  0.942  0.200  0.175
Cl  0.599  0.819  0.006
Nb  0.000  0.000  0.000
Cl  0.975  0.216  0.818
Cl  0.025  0.784  0.182
Cl  0.583  0.299  0.507
In  0.509  0.504  0.269
Cl  0.058  0.800  0.825


The size of the total moment results, record by record, are as follows: 0.0 0.0 μB/cell.